Run w
Below is crystalline MnNiMoO at its relaxed geometry, with properties calculated at the GGA+U level.

The structure belongs to space group Cm (No. 8); the cell edges are 10.018, 3.998 and 3.042 Å and the angles 90.00°, 107.56° and 90.00°. The inequivalent atoms are Mn at (0.000, 0.000, 0.000), Ni at (0.141, 0.500, 0.641), Mo at (0.345, 0.000, 0.346) and O at (0.188, 0.000, 0.689).

The calculation puts the spin magnetization at 5.4 μB per cell. The value obtained for the volume is 116 Å³ per cell. Its crystal system is monoclinic.



Run x
Below is crystalline MnNiMoO at its relaxed geometry, with properties calculated at the GGA+U level.

The structure belongs to space group Cm (No. 8); the cell edges are 4.802, 2.955 and 7.978 Å and the angles 90.00°, 103.15° and 90.00°. The inequivalent atoms are Mn at (0.000, 0.000, 0.000), Ni at (0.258, 0.000, 0.732), Mo at (0.476, 0.000, 0.306) and O at (0.191, 0.000, 0.474).

The calculation puts the spin magnetization at 10.3 μB per cell. The value obtained for the volume is 110 Å³ per cell. Its crystal system is monoclinic.



Run y
Below is crystalline MnNiMoO at its relaxed geometry, with properties calculated at the GGA+U level.

The structure belongs to space group Imm2 (No. 44); the cell edges are 3.109, 3.284 and 11.449 Å and the angles 90.00°, 90.00° and 90.00°. The inequivalent atoms are Mn at (0.000, 0.000, 0.000), Ni at (0.000, 0.000, 0.624), Mo at (0.000, 0.000, 0.356) and O at (0.000, 0.500, 0.734).

The calculation puts the spin magnetization at 6.4 μB per cell. The value obtained for the volume is 117 Å³ per cell. Its crystal system is orthorhombic.



Verdict on stability: run y comes out at the bottom.



Run w
Below is crystalline MnNiMoO at its relaxed geometry, with properties calculated at the GGA+U level.

The structure belongs to space group Amm2 (No. 38); the cell edges are 3.181, 2.993 and 13.246 Å and the angles 90.00°, 90.00° and 90.00°. The inequivalent atoms are Mn at (0.000, 0.000, 0.000), Ni at (0.500, 0.000, 0.614), Mo at (0.500, 0.000, 0.361) and O at (0.500, 0.000, 0.758).

The calculation puts the spin magnetization at 5.2 μB per cell. The value obtained for the volume is 126 Å³ per cell. Its crystal system is orthorhombic.



Run x
Below is crystalline MnNiMoO at its relaxed geometry, with properties calculated at the GGA+U level.

The structure belongs to space group P4mm (No. 99); the cell edges are 3.126, 3.126 and 6.735 Å and the angles 90.00°, 90.00° and 90.00°. The inequivalent atoms are Mn at (0.000, 0.000, 0.000), Ni at (0.500, 0.500, 0.791), Mo at (0.000, 0.000, 0.489) and O at (0.500, 0.500, 0.477).

The calculation puts the spin magnetization at 9.0 μB per cell. The value obtained for the volume is 66 Å³ per cell. Its crystal system is tetragonal.



Verdict on stability: run x comes out at the bottom.



Run w
Below is crystalline Mn3MoO at its relaxed geometry, with properties calculated at the GGA+U level.

The structure belongs to space group Pm-3m (No. 221); the cell edges are 5.214, 5.214 and 5.214 Å and the angles 90.00°, 90.00° and 90.00°. The inequivalent atoms are Mn at (0.000, 0.000, 0.500), Mo at (0.000, 0.000, 0.000) and O at (0.500, 0.500, 0.500).

The calculation puts the spin magnetization at 10.7 μB per cell. The value obtained for the volume is 142 Å³ per cell. Its crystal system is cubic.



Run x
Below is crystalline Mn3MoO at its relaxed geometry, with properties calculated at the GGA+U level.

The structure belongs to space group Pm-3m (No. 221); the cell edges are 4.380, 4.380 and 4.380 Å and the angles 90.00°, 90.00° and 90.00°. The inequivalent atoms are Mn at (0.000, 0.000, 0.500), Mo at (0.500, 0.500, 0.500) and O at (0.000, 0.000, 0.000).

The calculation puts the spin magnetization at 9.1 μB per cell. The value obtained for the volume is 84 Å³ per cell. Its crystal system is cubic.



Verdict on stability: run w comes out at the bottom.



Run w
Below is crystalline MnMoPO2 at its relaxed geometry, with properties calculated at the GGA+U level.

The structure belongs to space group P4/mmm (No. 123); the cell edges are 3.865, 3.865 and 5.288 Å and the angles 90.00°, 90.00° and 90.00°. The inequivalent atoms are Mn at (0.000, 0.000, 0.000), Mo at (0.500, 0.500, 0.500), P at (0.500, 0.500, 0.000) and O at (0.000, 0.500, 0.500).

The calculation puts the spin magnetization at 6.0 μB per cell. The value obtained for the volume is 79 Å³ per cell. Its crystal system is tetragonal.



Run x
Below is crystalline MnMoPO2 at its relaxed geometry, with properties calculated at the GGA+U level.

The structure belongs to space group P4/mmm (No. 123); the cell edges are 3.742, 3.742 and 5.004 Å and the angles 90.00°, 90.00° and 90.00°. The inequivalent atoms are Mn at (0.000, 0.000, 0.000), Mo at (0.500, 0.500, 0.500), P at (0.000, 0.000, 0.500) and O at (0.000, 0.500, 0.000).

The calculation puts the spin magnetization at 6.1 μB per cell. The value obtained for the volume is 70 Å³ per cell. Its crystal system is tetragonal.



Verdict on stability: run x comes out at the bottom.